Density functional theory data (PBE-GGA) for an optimized crystal structure of MgCu2Pt.

```
MgCu2Pt
1.0
-0.2081 -2.7733 3.5071
2.6229 -0.8080 -0.4832
2.0033 3.2615 2.6980
Cu Mg Pt
2 1 1
direct
0.0000 0.9809 0.9935
0.0000 0.5191 0.5065
0.5000 0.2500 0.2500
0.5000 0.7500 0.7500
```

Energy of formation from the pure elements: -5.51 kcal/mol of atoms
Theoretical density: 9.9 g/cm3
Energy: -4.196 eV/atom
Symmetry: P2/m, No. 10

***

Density functional theory data (PBE-GGA) for an optimized crystal structure of Mg4Cu3Pt.

```
Mg4Cu3Pt
1.0
4.5624 0.0000 0.0000
0.0000 6.0570 0.0000
0.0000 0.0000 9.1056
Mg Pt Cu
8 2 6
direct
0.5000 0.7492 0.0000
0.5000 0.7492 0.5000
0.5000 0.2508 0.0000
0.5000 0.2508 0.5000
0.0217 0.7493 0.7500
0.9783 0.7493 0.2500
0.9783 0.2507 0.2500
0.0217 0.2507 0.7500
0.0000 0.5000 0.0000
0.0000 0.5000 0.5000
0.0000 0.0000 0.0000
0.0000 0.0000 0.5000
0.5254 0.0000 0.7500
0.4746 0.0000 0.2500
0.5297 0.5000 0.7500
0.4703 0.5000 0.2500
```

Energy of formation from the pure elements: -7.04 kcal/mol of atoms
Theoretical density: 6.4 g/cm3
Energy: -3.394 eV/atom
Symmetry: Pmma, No. 51

***

Density functional theory data (PBE-GGA) for an optimized crystal structure of MgCu2Pt.

```
MgCu2Pt
1.0
3.6775 0.0000 0.0000
0.0000 3.6775 0.0000
1.8388 1.8388 9.2060
Mg Cu Pt
2 4 2
direct
0.5000 0.5000 0.0000
0.2500 0.7500 0.5000
0.6428 0.1250 0.2500
0.1072 0.6250 0.2500
0.3750 0.3572 0.7500
0.8750 0.8928 0.7500
0.0000 0.0000 0.0000
0.7500 0.2500 0.5000
```

Energy of formation from the pure elements: -1.71 kcal/mol of atoms
Theoretical density: 9.2 g/cm3
Energy: -4.031 eV/atom
Symmetry: I-42d, No. 122

***

Density functional theory data (PBE-GGA) for an optimized crystal structure of MgCu2Pt.

```
MgCu2Pt
1.0
8.8859 0.0131 0.0077
8.4471 2.7580 0.0077
8.4471 1.3505 2.4048
Cu Mg Pt
2 1 1
direct
0.0008 0.0008 0.0008
0.4992 0.4992 0.4992
0.2500 0.2500 0.2500
0.7500 0.7500 0.7500
```

Energy of formation from the pure elements: -1.53 kcal/mol of atoms
Theoretical density: 9.8 g/cm3
Energy: -4.023 eV/atom
Symmetry: R-3m, No. 166

***

theoretical density of number 1 (MgCu2Pt)?
9.9 g/cm3